Record 1
VASP calculation (PBE-GGA) on a relaxed structure of Pr3Si2SnPt9.

The structure in CIF format:
```
data_Pr3Si2SnPt9
_chemical_formula_sum 'Pr3 Si2 Sn1 Pt9'
_cell_length_a 6.4299
_cell_length_b 6.4299
_cell_length_c 9.3325
_cell_angle_alpha 90.00
_cell_angle_beta 90.00
_cell_angle_gamma 120.00
_space_group_name_H-M_alt 'P -3 m 1'
_space_group_IT_number 164
_space_group_name_Hall '-P 3 2"'
loop_
_atom_site_label
_atom_site_type_symbol
_atom_site_fract_x
_atom_site_fract_y
_atom_site_fract_z
Pr1 Pr 0.0000 0.0000 0.0000
Pr2 Pr 0.3333 0.6667 0.7216
Si1 Si 0.3333 0.6667 0.1743
Sn1 Sn 0.0000 0.0000 0.5000
Pt1 Pt 0.0000 0.5000 0.0000
Pt2 Pt 0.1451 0.2903 0.2715
```

D(E_F), states/eV/atom: 0.509
Energy relative to the elements, uncorrected, eV/atom: -0.72

=====

Record 2
VASP calculation (PBE-GGA) on a relaxed structure of Ac2NdIr.

The structure in CIF format:
```
data_Ac2NdIr
_chemical_formula_sum 'Ac8 Nd4 Ir4'
_cell_length_a 7.2583
_cell_length_b 6.8168
_cell_length_c 12.3127
_cell_angle_alpha 90.00
_cell_angle_beta 90.00
_cell_angle_gamma 90.00
_space_group_name_H-M_alt 'P n n a'
_space_group_IT_number 52
_space_group_name_Hall '-P 2a 2bc'
loop_
_atom_site_label
_atom_site_type_symbol
_atom_site_fract_x
_atom_site_fract_y
_atom_site_fract_z
Ac1 Ac 0.0856 0.2452 0.0822
Nd1 Nd 0.0804 0.2500 0.7500
Ir1 Ir 0.2500 0.0000 0.9063
```

Offset from the most stable computed form, meV per atom: 0
D(E_F), states/eV/atom: 1.021
Formation energy, eV per atom: -0.3998

=====

Record 3
VASP calculation (PBE-GGA) on a relaxed structure of YPaPtO6.

The structure in CIF format:
```
data_YPaPtO6
_chemical_formula_sum 'Y2 Pa2 Pt2 O12'
_cell_length_a 5.4130
_cell_length_b 5.4130
_cell_length_c 9.7715
_cell_angle_alpha 90.00
_cell_angle_beta 90.00
_cell_angle_gamma 120.00
_space_group_name_H-M_alt 'P -3 1 c'
_space_group_IT_number 163
_space_group_name_Hall '-P 3 2c'
loop_
_atom_site_label
_atom_site_type_symbol
_atom_site_fract_x
_atom_site_fract_y
_atom_site_fract_z
Y1 Y 0.3333 0.6667 0.2500
Pa1 Pa 0.0000 0.0000 0.0000
Pt1 Pt 0.3333 0.6667 0.7500
O1 O 0.0334 0.3481 0.6291
```

D(E_F), states/eV/atom: 0.000
Energy relative to the elements, uncorrected, eV/atom: -2.50

=====

Record 4
VASP calculation (PBE-GGA) on a relaxed structure of ReTcCl2.

The structure in CIF format:
```
data_ReTcCl2
_chemical_formula_sum 'Re2 Tc2 Cl4'
_cell_length_a 3.0372
_cell_length_b 5.4029
_cell_length_c 9.7312
_cell_angle_alpha 90.00
_cell_angle_beta 90.00
_cell_angle_gamma 90.00
_space_group_name_H-M_alt 'C m m 2'
_space_group_IT_number 35
_space_group_name_Hall 'C 2 -2'
loop_
_atom_site_label
_atom_site_type_symbol
_atom_site_fract_x
_atom_site_fract_y
_atom_site_fract_z
Re1 Re 0.0000 0.0000 0.0000
Tc1 Tc 0.0000 0.5000 0.1933
Cl1 Cl 0.0000 0.0000 0.4033
Cl2 Cl 0.0000 0.5000 0.7873
```

Offset from the most stable computed form, meV per atom: 522
D(E_F), states/eV/atom: 0.830
Energy relative to the elements, uncorrected, eV/atom: 0.37